A plane-wave DFT calculation with SCAN was carried out for a crystal of TlCrAu2 relaxed with PBEsol.

Computed properties:
Symmetry ... I-4m2
Total moment ... 1.04 μB/atom
DFT total energy ... -57.2304 eV per atom
Formation enthalpy at 0 K ... 3.3 kJ per mole of atoms

Lattice parameters (Å, degrees): 4.1450 4.1450 8.3464 90.00 90.00 90.00
Fractional positions:
Tl: 0.0000 0.0000 0.0000
Tl: 0.5000 0.5000 0.5000
Cr: 0.0000 0.5000 0.7500
Cr: 0.5000 0.0000 0.2500
Au: 0.0000 0.0000 0.5000
Au: 0.0000 0.5000 0.2500
Au: 0.5000 0.0000 0.7500
Au: 0.5000 0.5000 0.0000


A plane-wave DFT calculation with SCAN was carried out for a crystal of TlCrAu2 relaxed with PBEsol.

Computed properties:
Symmetry ... P4/mmm
Total moment ... 1.00 μB/atom
DFT total energy ... -57.2882 eV per atom
Formation enthalpy at 0 K ... -2.3 kJ per mole of atoms

Lattice parameters (Å, degrees): 3.2676 3.2676 6.9469 90.00 90.00 90.00
Fractional positions:
Tl: 0.0000 0.0000 0.0000
Cr: 0.0000 0.0000 0.5000
Au: 0.5000 0.5000 0.2885
Au: 0.5000 0.5000 0.7115